## B8O (meta-GGA SCAN)

Data for B8O at its PBEsol-relaxed geometry.

Cell: 5.1173 5.1173 9.0265 Å, 91.95 105.62 117.71°
Sites, in units of the cell vectors:
B 0.2071 0.7202 0.4013
B 0.9877 0.6646 0.9920
B 0.6716 0.4987 0.5020
O 0.3820 0.9274 0.3094
B 0.1992 0.9597 0.1589
B 0.9970 0.3392 0.9968
B 0.6576 0.9998 0.9968
O 0.6159 0.0743 0.6902
B 0.3283 0.7987 0.6053
B 0.7915 0.7741 0.0963
B 0.6811 0.1942 0.4013
B 0.0130 0.1645 0.5087
O 0.6224 0.5655 0.1879
B 0.8018 0.5363 0.3381
B 0.3274 0.0043 0.9920
B 0.9981 0.1679 0.1660
B 0.7939 0.0422 0.8361
B 0.0033 0.8304 0.5020
B 0.6412 0.6828 0.8885
B 0.3442 0.4956 0.5087
B 0.3222 0.3049 0.0963
B 0.2227 0.4627 0.6854
B 0.8067 0.2770 0.6053
B 0.2057 0.2473 0.8885
B 0.9907 0.8359 0.8266
B 0.0044 0.6655 0.6699
B 0.0083 0.3289 0.3372

- calculated volume (Å³/atom) = 7.33
- energy (eV/atom) = -7.894
- space-group type = No. 8

---

## BePtIO2 (meta-GGA SCAN)

Data for BePtIO2 at its PBEsol-relaxed geometry.

Cell: 3.5952 3.5952 6.2286 Å, 90.00 90.00 90.00°
Sites, in units of the cell vectors:
I 0.0000 0.0000 0.5000
O 0.0000 0.5000 0.0000
Be 0.0000 0.0000 0.0000
O 0.5000 0.0000 0.0000
Pt 0.5000 0.5000 0.5000

- calculated volume (Å³/atom) = 16.10
- energy (eV/atom) = -24.884
- space-group type = No. 123

---

## ZrF4 (meta-GGA SCAN)

Data for ZrF4 at its PBEsol-relaxed geometry.

Cell: 7.7090 7.8949 7.8949 Å, 90.00 90.00 90.00°
Sites, in units of the cell vectors:
F 0.5000 0.1814 0.3052
F 0.7867 0.2031 0.0632
Zr 0.7700 0.1826 0.3197
F 0.5000 0.3351 0.9620
F 0.3066 0.4402 0.2888
F 0.0000 0.9620 0.6649
F 0.6934 0.5598 0.7112
F 0.2867 0.9368 0.2031
Zr 0.2700 0.3197 0.8174
F 0.8066 0.2888 0.5598
F 0.7133 0.0632 0.7969
F 0.2133 0.2031 0.0632
Zr 0.2300 0.8174 0.6803
F 0.2867 0.0632 0.7969
F 0.6934 0.4402 0.2888
F 0.7867 0.7969 0.9368
F 0.1934 0.7112 0.4402
Zr 0.2700 0.6803 0.1826
F 0.0000 0.3283 0.2921
F 0.0000 0.0380 0.3351
Zr 0.2300 0.1826 0.3197
Zr 0.7700 0.8174 0.6803
F 0.5000 0.7079 0.3283
Zr 0.7300 0.3197 0.8174
F 0.7980 0.5000 0.0000
F 0.8066 0.7112 0.4402
F 0.2980 0.0000 0.5000
F 0.5000 0.6649 0.0380
F 0.0000 0.6948 0.1814
F 0.7133 0.9368 0.2031
F 0.0000 0.3052 0.8186
F 0.2133 0.7969 0.9368
F 0.2020 0.5000 0.0000
F 0.1934 0.2888 0.5598
F 0.3066 0.5598 0.7112
F 0.5000 0.2921 0.6717
F 0.7020 0.0000 0.5000
F 0.5000 0.8186 0.6948
F 0.0000 0.6717 0.7079
Zr 0.7300 0.6803 0.1826

- calculated volume (Å³/atom) = 12.01
- energy (eV/atom) = -12.975
- space-group type = No. 84

---

## SiAgIr (meta-GGA SCAN)

Data for SiAgIr at its PBEsol-relaxed geometry.

Cell: 2.9303 2.9303 5.5530 Å, 105.30 105.30 90.00°
Sites, in units of the cell vectors:
Ir 0.6941 0.6941 0.3881
Ag 0.9916 0.9916 0.9832
Si 0.3143 0.3143 0.6287

- calculated volume (Å³/atom) = 14.75
- energy (eV/atom) = -37.601
- space-group type = No. 107

---

Please write out number 3 again, unchanged.
## ZrF4 (meta-GGA SCAN)

Data for ZrF4 at its PBEsol-relaxed geometry.

Cell: 7.7090 7.8949 7.8949 Å, 90.00 90.00 90.00°
Sites, in units of the cell vectors:
F 0.5000 0.1814 0.3052
F 0.7867 0.2031 0.0632
Zr 0.7700 0.1826 0.3197
F 0.5000 0.3351 0.9620
F 0.3066 0.4402 0.2888
F 0.0000 0.9620 0.6649
F 0.6934 0.5598 0.7112
F 0.2867 0.9368 0.2031
Zr 0.2700 0.3197 0.8174
F 0.8066 0.2888 0.5598
F 0.7133 0.0632 0.7969
F 0.2133 0.2031 0.0632
Zr 0.2300 0.8174 0.6803
F 0.2867 0.0632 0.7969
F 0.6934 0.4402 0.2888
F 0.7867 0.7969 0.9368
F 0.1934 0.7112 0.4402
Zr 0.2700 0.6803 0.1826
F 0.0000 0.3283 0.2921
F 0.0000 0.0380 0.3351
Zr 0.2300 0.1826 0.3197
Zr 0.7700 0.8174 0.6803
F 0.5000 0.7079 0.3283
Zr 0.7300 0.3197 0.8174
F 0.7980 0.5000 0.0000
F 0.8066 0.7112 0.4402
F 0.2980 0.0000 0.5000
F 0.5000 0.6649 0.0380
F 0.0000 0.6948 0.1814
F 0.7133 0.9368 0.2031
F 0.0000 0.3052 0.8186
F 0.2133 0.7969 0.9368
F 0.2020 0.5000 0.0000
F 0.1934 0.2888 0.5598
F 0.3066 0.5598 0.7112
F 0.5000 0.2921 0.6717
F 0.7020 0.0000 0.5000
F 0.5000 0.8186 0.6948
F 0.0000 0.6717 0.7079
Zr 0.7300 0.6803 0.1826

- calculated volume (Å³/atom) = 12.01
- energy (eV/atom) = -12.975
- space-group type = No. 84

---

Question: Which value of energy does entry 1 give?
Answer: -7.894 eV/atom

---

Question: Which value of energy does entry 3 give?
Answer: -12.975 eV/atom

---

Question: Among the records above, which one has the highest energy?
Answer: B8O